(1)
First-principles (GGA-PBE) data for an optimized crystal structure of Tm4Mg3Pb, as listed in the Alexandria database.

Final energy, eV for the cell shown: -27.70

Cell: 4.350 4.904 9.928 Å, 90.00 90.00 90.00°
Space group Pmmm (No. 47)
Symmetry-distinct sites (fractional):
Tm  0.000  0.000  0.000 x1
Tm  0.000  0.000  0.500 x1
Tm  0.000  0.500  0.249 x2
Mg  0.500  0.000  0.258 x2
Mg  0.500  0.500  0.500 x1
Pb  0.500  0.500  0.000 x1


(2)
First-principles (GGA-PBE) data for an optimized crystal structure of Si2AsAu, as listed in the Alexandria database.

Final energy, eV for the cell shown: -36.22

Cell: 5.284 7.371 4.523 Å, 90.00 125.58 90.00°
Space group C2/m (No. 12)
Symmetry-distinct sites (fractional):
Si  0.250  0.250  0.000 x4
As  0.000  0.000  0.500 x2
Au  0.000  0.500  0.500 x2


| no. | size of the total moment (μB/f.u.) |
| --- | --- |
| 1 | 0.000 |
| 2 | 0.000 |